The following is a GGA-PBE calculation of a relaxed structure of ZrMnZn, from Alexandria via LeMat-Bulk.

Cell lengths 5.0746, 5.0746, 5.0746 Å; angles 89.66, 61.71, 121.34 degrees
With the nearest neighbours (Å) after each atom.
Atoms (fractional coordinates):
Zr  0.7500  0.8863  0.3637  6 Mn 2.88-3.04, 6 Zn 2.92-3.06, 4 Zr 3.07-3.16
Zr  0.2500  0.1137  0.6363  6 Mn 2.88-3.04, 6 Zn 2.92-3.06, 4 Zr 3.07-3.16
Mn  0.5000  0.0000  0.0000  2 Mn 2.49, 4 Zn 2.54
Mn  0.0000  0.5000  0.0000  2 Mn 2.49, 4 Zn 2.54
Zn  0.0000  0.5000  0.5000  4 Mn 2.54, 2 Zn 2.60
Zn  0.5000  0.5000  0.0000  4 Mn 2.54, 2 Zn 2.60

Results
The calculated total energy comes out at -0.4744 Ry/atom. As for the space group: Imma. The crystal system is orthorhombic. As for the theoretical density: 7.6 g cm⁻³. For the energy of formation, the calculation gives -124 meV per atom.